! Cs2K2RbReO6 | the Open Quantum Materials Database | PBE | relaxed; values from VASP
! - V: 225.2 Å³/cell
! - ΔE to the lowest computed polymorph: 0.0 meV/atom
! - Total moment: 0.00 μB/cell
! - E: -5.5031 eV per atom
! - SG: C2/m (12)
&SYSTEM
  ibrav = 0, nat = 12, ntyp = 5
/
ATOMIC_SPECIES
Cs 132.91 Cs.upf
K 39.10 K.upf
Rb 85.47 Rb.upf
Re 186.21 Re.upf
O 16.00 O.upf
CELL_PARAMETERS angstrom
3.2124 -5.6299 0.0000
3.2124 5.6299 0.0000
-2.2653 0.0000 6.2262
ATOMIC_POSITIONS crystal
Cs 0.1737 0.8263 0.0000
Cs 0.8263 0.1737 0.0000
K 0.3341 0.6659 0.5000
K 0.6659 0.3341 0.5000
Rb 0.5000 0.5000 0.0000
Re 0.0000 0.0000 0.5000
O 0.0653 0.3069 0.6772
O 0.1818 0.1818 0.3204
O 0.3069 0.0653 0.6772
O 0.6931 0.9347 0.3228
O 0.8182 0.8182 0.6796
O 0.9347 0.6931 0.3228